--- P ---
Below is a crystal of CaMoOs2 relaxed with PBEsol, with properties calculated at the SCAN level.

a b c (Å): 3.0488 3.0488 7.2972
angles (deg): 90.00 90.00 90.00
Atoms (fractional coordinates):
Ca: 0.0000 0.0000 0.0000
Mo: 0.0000 0.0000 0.5000
Os: 0.5000 0.5000 0.2939
Os: 0.5000 0.5000 0.7061

Values from the calculation:
The total magnetic moment is 0.00 μB/cell.



--- Q ---
Below is a crystal of CaMoOs2 relaxed with PBEsol, with properties calculated at the SCAN level.

a b c (Å): 4.4764 4.4764 4.4764
angles (deg): 60.00 60.00 60.00
Atoms (fractional coordinates):
Ca: 0.0000 0.0000 0.0000
Mo: 0.5000 0.5000 0.5000
Os: 0.2500 0.2500 0.2500
Os: 0.7500 0.7500 0.7500

Values from the calculation:
The total magnetic moment is 0.00 μB/cell.



Relative energies, unit meV/atom: P 0; Q 139